[1]
20
Lattice="-1.273 3.518 -1.291 -9.934 -3.365 0.630 -0.538 3.443 9.913" Properties=species:S:1:pos:R:3 comment="Ca2Cd2Ag5Pd | Alexandria via LeMat-Bulk | PBE | relaxed" total_energy_ev_per_atom=-2.677 sg="P4/mbm, No. 127" n_ef_per_ev_atom=0.208 volume_a3_per_cell=437.0 magmom_total_mub_per_atom=0.000 pbc="T T T"
Ag -4.040 2.618 5.050
Ag -10.128 -0.776 1.808
Ag -6.517 2.260 6.518
Ag -0.906 3.481 4.311
Ag -7.706 0.979 4.201
Ag -2.528 1.317 0.015
Ag -5.604 0.077 -0.331
Ag -1.618 4.373 7.444
Ag -5.228 1.337 2.733
Ag -9.217 2.280 9.236
Ca -6.782 -1.669 2.142
Ca -1.897 0.542 3.348
Ca -8.575 -0.463 7.195
Ca -3.690 1.747 8.401
Pd -5.236 0.039 5.271
Pd 0.000 0.000 0.000
Cd -3.768 -0.813 1.500
Cd -6.704 0.892 9.043
Cd -8.867 -1.653 4.241
Cd -1.605 1.731 6.302

=====

[2]
4
Lattice="-1.687 3.901 -3.214 -4.940 -0.139 -1.993 -3.663 3.469 1.715" Properties=species:S:1:pos:R:3 comment="CaPmCdAg | Alexandria via LeMat-Bulk | PBE | relaxed" total_energy_ev_per_atom=-2.943 sg="F-43m, No. 216" n_ef_per_ev_atom=0.849 volume_a3_per_cell=107.0 magmom_total_mub_per_atom=0.000 pbc="T T T"
Ag -2.572 1.808 -0.873
Pm -5.145 3.616 -1.746
Cd -7.717 5.423 -2.619
Ca 0.000 0.000 0.000

=====

[3]
4
Lattice="-1.922 -0.041 3.238 2.885 -1.730 1.690 2.969 6.757 1.848" Properties=species:S:1:pos:R:3 comment="CaPmCdAg | Alexandria via LeMat-Bulk | PBE | relaxed" total_energy_ev_per_atom=-2.943 sg="P4mm, No. 99" n_ef_per_ev_atom=0.886 volume_a3_per_cell=107.9 magmom_total_mub_per_atom=0.043 pbc="T T T"
Pm 2.515 5.724 1.566
Ca 1.085 2.469 0.675
Ag 2.300 3.251 3.596
Cd 0.788 -0.189 2.655

=====

[4]
4
Lattice="-3.726 -3.073 -2.355 1.452 -3.648 -3.668 -0.288 -5.239 1.160" Properties=species:S:1:pos:R:3 comment="CaPrCdAg | Alexandria via LeMat-Bulk | PBE | relaxed" total_energy_ev_per_atom=-2.955 sg="F-43m, No. 216" n_ef_per_ev_atom=0.808 volume_a3_per_cell=109.7 magmom_total_mub_per_atom=0.000 pbc="T T T"
Ca -1.281 -5.980 -2.431
Pr 0.000 0.000 0.000
Ag -1.921 -8.969 -3.647
Cd -0.640 -2.990 -1.216

=====

[5]
8
Lattice="-4.557 2.155 -0.859 -3.688 -0.326 3.527 -0.052 7.696 4.364" Properties=species:S:1:pos:R:3 comment="Ca4CdAgPt2 | Alexandria via LeMat-Bulk | PBE | relaxed" total_energy_ev_per_atom=-3.580 sg="R-3m, No. 166" n_ef_per_ev_atom=0.758 volume_a3_per_cell=188.9 magmom_total_mub_per_atom=0.000 pbc="T T T"
Pt -2.091 2.337 1.736
Pt -6.206 7.189 5.295
Ca -5.141 2.155 2.237
Ca -1.081 4.991 3.037
Ca -3.156 7.371 4.794
Ca -7.216 4.535 3.994
Cd 0.000 0.000 0.000
Ag -4.148 4.763 3.515

=====

[6]
8
Lattice="-1.025 0.267 5.113 3.639 -1.409 3.469 3.791 7.579 3.030" Properties=species:S:1:pos:R:3 comment="Ca4CdAg2Pt | Alexandria via LeMat-Bulk | PBE | relaxed" total_energy_ev_per_atom=-3.056 sg="R-3m, No. 166" n_ef_per_ev_atom=0.692 volume_a3_per_cell=200.2 magmom_total_mub_per_atom=0.000 pbc="T T T"
Ca 2.632 4.419 2.963
Ca 2.185 0.446 5.747
Ca 4.220 5.992 5.865
Ca 3.773 2.018 8.649
Ag 1.540 1.442 2.899
Ag 4.865 4.996 8.712
Cd 0.000 0.000 0.000
Pt 3.203 3.219 5.806

=====

[7]
4
Lattice="5.321 0.000 0.000 2.661 4.608 0.000 2.661 1.536 4.345" Properties=species:S:1:pos:R:3 comment="CaPuCdAg | Alexandria via LeMat-Bulk | PBE | relaxed" total_energy_ev_per_atom=-5.078 sg="F-43m, No. 216" n_ef_per_ev_atom=3.383 volume_a3_per_cell=106.5 magmom_total_mub_per_atom=1.490 pbc="T T T"
Ca 7.982 4.608 3.259
Cd 5.321 3.072 2.172
Pu 2.661 1.536 1.086
Ag 0.000 0.000 0.000

=====

[8]
8
Lattice="-0.162 -3.855 3.493 0.350 -4.950 -1.569 8.480 -2.585 1.417" Properties=species:S:1:pos:R:3 comment="Ca4CdAg2Rh | Alexandria via LeMat-Bulk | PBE | relaxed" total_energy_ev_per_atom=-3.068 sg="R-3m, No. 166" n_ef_per_ev_atom=0.702 volume_a3_per_cell=198.4 magmom_total_mub_per_atom=0.000 pbc="T T T"
Cd 0.000 0.000 0.000
Ag 2.043 -2.853 0.824
Ag 6.625 -8.537 2.517
Rh 4.334 -5.695 1.670
Ca 5.128 -2.724 1.108
Ca 3.541 -8.665 2.233
Ca 7.246 -5.574 1.939
Ca 1.423 -5.816 1.402

=====

[9]
20
Lattice="-1.866 3.187 2.034 -8.033 -0.768 -6.167 -4.291 -6.605 6.413" Properties=species:S:1:pos:R:3 comment="Ca2Cd5AgRh2 | Alexandria via LeMat-Bulk | PBE | relaxed" total_energy_ev_per_atom=-2.878 sg="P4/mbm, No. 127" n_ef_per_ev_atom=0.473 volume_a3_per_cell=435.0 magmom_total_mub_per_atom=0.000 pbc="T T T"
Cd -9.301 -0.460 -3.442
Cd -8.499 -3.481 2.027
Cd -4.890 -3.725 5.721
Cd -5.692 -0.705 0.252
Cd -2.845 0.999 0.195
Cd -11.346 -5.184 2.084
Cd -3.079 -1.709 4.223
Cd -8.436 -1.809 -0.535
Cd -4.950 1.210 -2.067
Cd -5.755 -2.377 2.815
Rh -8.775 -6.261 1.759
Rh -3.550 -1.112 -1.514
Rh -8.641 -3.151 -2.991
Rh -3.683 -4.222 3.237
Ca -6.142 -1.656 -3.041
Ca -2.791 -2.296 1.037
Ca -6.182 -5.717 3.287
Ca -9.534 -5.077 -0.791
Ag 0.000 0.000 0.000
Ag -6.162 -3.687 0.123

=====

[10]
20
Lattice="-2.707 -6.340 1.537 -1.788 -4.432 -5.201 9.550 -8.263 -1.037" Properties=species:S:1:pos:R:3 comment="Ca2Cd6AgRh | Alexandria via LeMat-Bulk | PBE | relaxed" total_energy_ev_per_atom=-2.093 sg="R-3m, No. 166" n_ef_per_ev_atom=0.682 volume_a3_per_cell=518.3 magmom_total_mub_per_atom=0.000 pbc="T T T"
Ca -0.977 -12.259 -3.605
Ca 4.839 -14.719 -3.508
Ca 6.032 -6.775 -1.096
Ca 0.216 -4.316 -1.193
Cd 1.297 -9.566 -4.720
Cd 6.823 -11.750 -3.996
Cd 0.753 -10.694 -0.738
Cd -2.540 -9.199 -2.952
Cd 2.353 -6.947 -1.646
Cd 4.302 -8.340 -3.963
Cd 7.595 -9.835 -1.749
Cd 2.702 -12.088 -3.055
Cd -1.767 -7.284 -0.705
Cd 3.759 -9.468 0.019
Cd 6.426 -12.575 -1.085
Cd -1.370 -6.460 -3.616
Rh 0.000 0.000 0.000
Rh 2.528 -9.517 -2.350
Ag 0.052 -8.470 -2.392
Ag 5.003 -10.564 -2.309

=====

[11]
5
Lattice="-5.036 -1.258 2.495 -1.462 -2.546 -4.236 2.266 -4.847 2.131" Properties=species:S:1:pos:R:3 comment="Ca2CdAgSb | Alexandria via LeMat-Bulk | PBE | relaxed" raw_formation_energy_ev_per_atom=-0.09 sg="P4/mmm, No. 123" n_ef_per_ev_atom=0.450 volume_a3_per_cell=171.0 magmom_total_mub_per_atom=0.000 pbc="T T T"
Ca 1.133 -2.423 1.066
Ca -2.518 -0.629 1.247
Sb -0.731 -1.273 -2.118
Cd -2.116 -4.326 0.195
Ag 0.000 0.000 0.000

=====

[12]
18
Lattice="-5.766 -1.907 -4.551 -4.532 -2.315 5.630 -3.605 6.641 0.703" Properties=species:S:1:pos:R:3 comment="Ca2ScCd12Ag3 | Alexandria via LeMat-Bulk | PBE | relaxed" total_energy_ev_per_atom=-1.682 sg="R-3m, No. 166" n_ef_per_ev_atom=0.519 volume_a3_per_cell=432.5 magmom_total_mub_per_atom=0.000 pbc="T T T"
Cd -5.063 -0.705 3.229
Cd -8.839 3.124 -1.447
Cd -7.427 3.920 1.058
Cd -5.694 -0.496 -1.973
Cd -6.070 2.413 -1.428
Cd -8.372 0.185 -1.238
Cd -7.832 0.007 3.210
Cd -4.590 3.872 0.712
Cd -6.475 -1.501 0.725
Cd -8.208 2.916 3.756
Cd -9.313 -1.452 1.071
Cd -5.531 2.234 3.021
Ca -10.218 1.778 1.310
Ca -3.684 0.641 0.472
Sc 0.000 0.000 0.000
Ag -2.883 -0.953 -2.275
Ag -2.266 -1.157 2.815
Ag -1.802 3.320 0.352

=====

[13]
10
Lattice="4.547 0.000 0.000 0.000 4.547 0.000 0.000 0.000 11.960" Properties=species:S:1:pos:R:3 comment="Ca2CdAg4Sn3 | Alexandria via LeMat-Bulk | PBE | relaxed" total_energy_ev_per_atom=-3.099 sg="P-4m2, No. 115" n_ef_per_ev_atom=0.586 volume_a3_per_cell=247.2 magmom_total_mub_per_atom=0.000 pbc="T T T"
Ca 2.273 0.000 2.848
Ca 0.000 2.273 9.112
Sn 0.000 2.273 1.630
Sn 0.000 0.000 5.980
Sn 2.273 0.000 10.330
Ag 0.000 0.000 0.000
Ag 0.000 2.273 4.295
Ag 2.273 2.273 0.000
Ag 2.273 0.000 7.665
Cd 2.273 2.273 5.980

=====

[14]
20
Lattice="7.282 0.000 0.000 3.641 6.306 0.000 3.641 2.102 12.204" Properties=species:S:1:pos:R:3 comment="Ca2Cd6AgSn | Alexandria via LeMat-Bulk | PBE | relaxed" total_energy_ev_per_atom=-1.695 sg="R-3m, No. 166" n_ef_per_ev_atom=0.636 volume_a3_per_cell=560.4 magmom_total_mub_per_atom=0.000 pbc="T T T"
Cd 9.489 2.930 5.051
Cd 8.772 3.344 11.232
Cd 8.772 5.065 0.972
Cd 7.282 6.753 5.051
Cd 5.075 5.479 7.152
Cd 5.792 3.344 11.232
Cd 9.489 5.479 7.152
Cd 5.792 5.065 0.972
Cd 7.282 1.656 7.152
Cd 7.282 2.483 0.972
Cd 7.282 5.925 11.232
Cd 5.075 2.930 5.051
Ca 10.923 6.306 3.755
Ca 3.641 2.102 2.010
Ca 3.641 2.102 8.448
Ca 10.923 6.306 10.194
Sn 7.282 4.204 3.341
Sn 7.282 4.204 8.863
Ag 7.282 4.204 6.102
Ag 0.000 0.000 0.000

=====

[15]
4
Lattice="-1.227 3.103 2.719 -4.132 0.554 -2.496 -2.045 -5.660 2.130" Properties=species:S:1:pos:R:3 comment="SrCaCdAg | Alexandria via LeMat-Bulk | PBE | relaxed" total_energy_ev_per_atom=-2.167 sg="Amm2, No. 38" n_ef_per_ev_atom=0.573 volume_a3_per_cell=125.7 magmom_total_mub_per_atom=0.000 pbc="T T T"
Cd -3.071 1.223 0.626
Ca -0.744 -1.150 0.976
Ag -2.297 -3.549 3.014
Sr -4.565 -1.085 2.586

=====

[16]
4
Lattice="3.717 0.000 0.000 0.000 3.717 0.000 0.000 0.000 7.560" Properties=species:S:1:pos:R:3 comment="CaTbCdAg | Alexandria via LeMat-Bulk | PBE | relaxed" total_energy_ev_per_atom=-2.922 sg="P4mm, No. 99" n_ef_per_ev_atom=0.872 volume_a3_per_cell=104.4 magmom_total_mub_per_atom=0.000 pbc="T T T"
Ca 0.000 0.000 2.760
Ag 1.858 1.858 4.709
Cd 1.858 1.858 0.719
Tb 0.000 0.000 6.388

=====

[17]
4
Lattice="5.267 0.000 0.000 2.634 4.562 0.000 2.634 1.521 4.301" Properties=species:S:1:pos:R:3 comment="CaTbCdAg | Alexandria via LeMat-Bulk | PBE | relaxed" total_energy_ev_per_atom=-2.903 sg="F-43m, No. 216" n_ef_per_ev_atom=0.792 volume_a3_per_cell=103.3 magmom_total_mub_per_atom=0.000 pbc="T T T"
Cd 7.901 4.562 3.226
Ag 2.634 1.521 1.075
Tb 5.267 3.041 2.150
Ca 0.000 0.000 0.000

=====

[18]
8
Lattice="-0.626 5.292 -0.552 -4.749 1.997 -1.471 -4.144 3.029 7.733" Properties=species:S:1:pos:R:3 comment="Ca4TlCdAg2 | Alexandria via LeMat-Bulk | PBE | relaxed" total_energy_ev_per_atom=-2.467 sg="R-3m, No. 166" n_ef_per_ev_atom=0.459 volume_a3_per_cell=217.6 magmom_total_mub_per_atom=0.000 pbc="T T T"
Ca -5.639 5.383 5.995
Ca -3.881 4.935 -0.286
Ca -3.258 2.803 4.566
Ca -6.262 7.515 1.143
Cd 0.000 0.000 0.000
Ag -7.149 7.741 4.315
Ag -2.371 2.577 1.394
Tl -4.760 5.159 2.855

=====

[19]
8
Lattice="5.408 0.000 0.000 2.704 4.683 0.000 2.704 1.561 8.846" Properties=species:S:1:pos:R:3 comment="Ca4Tl2CdAg | Alexandria via LeMat-Bulk | PBE | relaxed" total_energy_ev_per_atom=-2.452 sg="R-3m, No. 166" n_ef_per_ev_atom=0.662 volume_a3_per_cell=224.0 magmom_total_mub_per_atom=0.000 pbc="T T T"
Ca 5.408 3.122 1.161
Ca 8.112 4.683 3.370
Ca 5.408 3.122 7.685
Ca 2.704 1.561 5.476
Tl 2.704 1.561 2.179
Tl 8.112 4.683 6.667
Cd 0.000 0.000 0.000
Ag 5.408 3.122 4.423

=====

[20]
5
Lattice="5.499 0.000 0.000 0.000 4.672 0.000 0.000 0.000 5.499" Properties=species:S:1:pos:R:3 comment="CaVCd2Ag | Alexandria via LeMat-Bulk | PBE | relaxed" total_energy_ev_per_atom=-1.668 sg="P4/mmm, No. 123" n_ef_per_ev_atom=1.244 volume_a3_per_cell=141.2 magmom_total_mub_per_atom=0.010 pbc="T T T"
Ag 2.749 2.336 2.749
Ca 0.000 0.000 0.000
Cd 0.000 0.000 2.749
Cd 2.749 0.000 0.000
V 0.000 2.336 0.000

=====

[21]
18
Lattice="-0.702 1.112 -8.682 -7.973 1.222 -3.470 -2.090 7.951 -3.084" Properties=species:S:1:pos:R:3 comment="Ca2YCd12Ag3 | Alexandria via LeMat-Bulk | PBE | relaxed" total_energy_ev_per_atom=-1.598 sg="R-3m, No. 166" n_ef_per_ev_atom=0.493 volume_a3_per_cell=492.2 magmom_total_mub_per_atom=0.000 pbc="T T T"
Cd -2.665 4.708 -3.816
Cd -6.897 3.144 -9.687
Cd -5.965 8.020 -11.278
Cd -7.272 3.247 -5.771
Cd -2.161 2.224 -5.849
Cd -3.869 7.140 -5.548
Cd -3.066 3.184 -8.786
Cd -3.494 7.037 -9.464
Cd -8.101 5.577 -11.419
Cd -7.700 7.100 -6.449
Cd -4.801 2.264 -3.957
Cd -8.605 8.060 -9.386
Ag -1.045 3.976 -1.542
Ag -3.987 0.611 -1.735
Ag -0.351 0.556 -4.341
Ca -4.499 4.298 -6.367
Ca -6.267 5.986 -8.868
Y 0.000 0.000 0.000

=====

[22]
6
Lattice="-0.609 -5.069 1.384 1.886 1.090 4.821 -5.802 3.094 -1.333" Properties=species:S:1:pos:R:3 comment="CaZn2Cd2Ag | Alexandria via LeMat-Bulk | PBE | relaxed" total_energy_ev_per_atom=-1.429 sg="I4/mmm, No. 139" n_ef_per_ev_atom=0.429 volume_a3_per_cell=155.8 magmom_total_mub_per_atom=0.000 pbc="T T T"
Ca 0.638 -1.990 3.103
Zn -2.180 -1.387 4.069
Zn -2.346 0.501 0.804
Cd -1.639 1.097 3.295
Cd -2.886 -1.983 1.577
Ag 0.000 0.000 0.000

=====

[23]
9
Lattice="-0.286 2.364 4.275 -4.722 0.966 -0.850 -1.972 -6.558 3.495" Properties=species:S:1:pos:R:3 comment="CaZn2CdAg5 | Alexandria via LeMat-Bulk | PBE | relaxed" total_energy_ev_per_atom=-2.186 sg="P4/mmm, No. 123" n_ef_per_ev_atom=0.433 volume_a3_per_cell=184.1 magmom_total_mub_per_atom=0.000 pbc="T T T"
Ca -0.986 -3.279 1.748
Ag -2.857 -1.166 0.454
Ag -3.490 -1.614 3.460
Ag -0.639 -0.467 3.017
Ag -3.837 -4.426 2.191
Ag -1.619 -3.727 4.754
Zn -2.809 0.649 2.254
Zn -4.170 -3.877 4.666
Cd 0.000 0.000 0.000